The following is a DFT calculation (PBE) of MnVMo3 after structural relaxation.

Calculated values
V   17.52 Å³ per atom
Density   7.46 g/cm³
Energy relative to the lowest polymorph listed for this composition   0 meV per atom
ΔE_f   1173.6 meV/atom

a b c (Å): 4.4416 4.4416 4.4416
angles (deg): 90.00 90.00 90.00
Space group Pm-3m (No. 221)
One atom of each set of equivalent atoms:
1 Mn 0.0000 0.0000 0.0000
2 V 0.5000 0.5000 0.5000
3 Mo 0.0000 0.0000 0.5000

The following is a DFT calculation (PBE) of Dy2HoSc7 after structural relaxation.

Calculated values
V   29.15 Å³ per atom
Density   4.58 g/cm³
Energy relative to the lowest polymorph listed for this composition   216 meV per atom
ΔE_f   365.8 meV/atom

a b c (Å): 11.2961 15.6290 3.4686
angles (deg): 90.00 107.81 90.00
Space group C2/m (No. 12)
One atom of each set of equivalent atoms:
1 Dy 0.0000 0.1834 0.0000
2 Ho 0.0000 0.0000 0.5000
3 Sc 0.0000 0.3432 0.5000
4 Sc 0.0000 0.5000 0.0000
5 Sc 0.2433 0.3427 0.2426

The following is a DFT calculation (PBE) of SrCuPb2 after structural relaxation.

Calculated values
V   32.23 Å³ per atom
Density   7.29 g/cm³
ΔE_f   32.0 meV/atom

a b c (Å): 5.1287 5.1287 19.6028
angles (deg): 90.00 90.00 90.00
Space group I-42d (No. 122)
One atom of each set of equivalent atoms:
1 Sr 0.0000 0.0000 0.0000
2 Cu 0.0000 0.0000 0.5000
3 Pb 0.1638 0.2500 0.6250

The following is a DFT calculation (PBE) of HfMo after structural relaxation.

Calculated values
V   18.45 Å³ per atom
Density   12.35 g/cm³
Energy relative to the lowest polymorph listed for this composition   43 meV per atom
ΔE_f   -64.2 meV/atom

a b c (Å): 4.6390 14.3068 3.3361
angles (deg): 90.00 90.00 90.00
Space group Cmmm (No. 65)
One atom of each set of equivalent atoms:
1 Hf 0.0000 0.0000 0.0000
2 Hf 0.0000 0.1767 0.5000
3 Mo 0.0000 0.3475 0.0000
4 Mo 0.0000 0.5000 0.5000

The following is a DFT calculation (PBE) of LaHgW2 after structural relaxation.

Calculated values
V   21.77 Å³ per atom
Density   13.49 g/cm³
ΔE_f   313.3 meV/atom

a b c (Å): 3.2938 3.3024 8.0050
angles (deg): 90.00 90.02 90.00
Space group Pm (No. 6)
One atom of each set of equivalent atoms:
1 La 0.0000 0.0000 0.0000
2 Hg 0.4996 0.5000 0.6864
3 W 0.4992 0.5000 0.2851
4 W 0.9975 0.0000 0.4413

The following is a DFT calculation (PBE) of TcSn3C after structural relaxation.

Calculated values
V   27.13 Å³ per atom
Density   5.71 g/cm³
Energy relative to the lowest polymorph listed for this composition   70 meV per atom
ΔE_f   1302.5 meV/atom

a b c (Å): 5.1383 5.1383 5.1383
angles (deg): 90.00 90.00 90.00
Space group Pm-3m (No. 221)
One atom of each set of equivalent atoms:
1 Tc 0.0000 0.0000 0.0000
2 Sn 0.0000 0.0000 0.5000
3 C 0.5000 0.5000 0.5000

The following is a DFT calculation (PBE) of Cs2ThGaS5 after structural relaxation.

Calculated values
V   35.45 Å³ per atom
Density   3.79 g/cm³
Energy relative to the elements, uncorrected   -1.20 eV/atom

a b c (Å): 4.0456 21.0331 14.9965
angles (deg): 90.00 90.00 90.00
Space group Cmc2_1 (No. 36)
One atom of each set of equivalent atoms:
1 Cs 0.0000 0.1264 0.0000
2 Cs 0.0000 0.1293 0.3604
3 Th 0.0000 0.1955 0.6990
4 Ga 0.0000 0.4316 0.0967
5 S 0.0000 0.0554 0.6829
6 S 0.0000 0.3083 0.3204
7 S 0.0000 0.3218 0.0661
8 S 0.0000 0.3231 0.6802
9 S 0.0000 0.4886 0.9721

The following is a DFT calculation (PBE) of Er7In2Ni2 after structural relaxation.

Calculated values
V   27.11 Å³ per atom
Density   8.45 g/cm³
ΔE_f   -235.5 meV/atom

a b c (Å): 7.8891 10.9710 6.8904
angles (deg): 90.00 90.00 90.00
Space group Cmmm (No. 65)
One atom of each set of equivalent atoms:
1 Er 0.0000 0.0000 0.0000
2 Er 0.0000 0.5000 0.2364
3 Er 0.2500 0.2500 0.2447
4 In 0.1773 0.0000 0.5000
5 Ni 0.0000 0.2937 0.0000

The following is a DFT calculation (PBE) of Pb4AuBr after structural relaxation.

Calculated values
V   31.42 Å³ per atom
Density   9.74 g/cm³
Energy relative to the elements, uncorrected   0.21 eV/atom

a b c (Å): 9.1022 9.1022 9.1022
angles (deg): 90.00 90.00 90.00
Space group F-43m (No. 216)
One atom of each set of equivalent atoms:
1 Pb 0.1242 0.1242 0.1242
2 Au 0.2500 0.2500 0.7500
3 Br 0.0000 0.0000 0.5000

The following is a DFT calculation (PBE) of YScBe after structural relaxation.

Calculated values
V   21.54 Å³ per atom
Density   3.67 g/cm³
Energy relative to the lowest polymorph listed for this composition   0 meV per atom
ΔE_f   44.0 meV/atom

a b c (Å): 3.3335 3.3335 11.6309
angles (deg): 90.00 90.00 90.00
Space group I4mm (No. 107)
One atom of each set of equivalent atoms:
1 Y 0.0000 0.0000 0.0000
2 Sc 0.0000 0.0000 0.7277
3 Be 0.0000 0.0000 0.3453

The following is a DFT calculation (PBE) of AsOsPb2 after structural relaxation.

Calculated values
V   21.88 Å³ per atom
Density   12.89 g/cm³
ΔE_f   878.0 meV/atom

a b c (Å): 3.4114 4.9173 5.2184
angles (deg): 90.00 90.00 90.00
Space group Pmmm (No. 47)
One atom of each set of equivalent atoms:
1 As 0.0000 0.0000 0.0000
2 Os 0.0000 0.5000 0.5000
3 Pb 0.5000 0.0000 0.5000
4 Pb 0.5000 0.5000 0.0000

The following is a DFT calculation (PBE) of Li4Al3Ga5 after structural relaxation.

Calculated values
V   18.25 Å³ per atom
Density   3.47 g/cm³
ΔE_f   -47.8 meV/atom

a b c (Å): 12.3711 5.0603 7.6043
angles (deg): 90.00 113.06 90.00
Space group C2/m (No. 12)
One atom of each set of equivalent atoms:
1 Li 0.0820 0.0000 0.4386
2 Li 0.2061 0.0000 0.8742
3 Al 0.0000 0.0000 0.0000
4 Al 0.0624 0.5000 0.6904
5 Ga 0.0000 0.5000 0.0000
6 Ga 0.1746 0.5000 0.3775
7 Ga 0.2169 0.0000 0.2400

The following is a DFT calculation (PBE) of K2HgPbI4 after structural relaxation.

Calculated values
V   43.93 Å³ per atom
Density   4.69 g/cm³
Energy relative to the elements, uncorrected   -0.94 eV/atom

a b c (Å): 15.5360 4.8746 9.7941
angles (deg): 90.00 108.63 90.00
Space group C2/m (No. 12)
One atom of each set of equivalent atoms:
1 K 0.2078 0.0000 0.2123
2 Hg 0.0000 0.5000 0.0000
3 Pb 0.0000 0.0000 0.5000
4 I 0.1218 0.5000 0.4243
5 I 0.1403 0.0000 0.8246

The following is a DFT calculation (PBE) of InPtCl2 after structural relaxation.

Calculated values
V   24.75 Å³ per atom
Density   6.39 g/cm³
Energy relative to the lowest polymorph listed for this composition   181 meV per atom
Energy relative to the elements, uncorrected   -0.26 eV/atom

a b c (Å): 5.2518 3.8186 5.2715
angles (deg): 90.00 110.54 90.00
Space group P2/m (No. 10)
One atom of each set of equivalent atoms:
1 In 0.0000 0.0000 0.0000
2 Pt 0.5000 0.0000 0.5000
3 Cl 0.3226 0.5000 0.6778

The following is a DFT calculation (PBE) of InTcPb2 after structural relaxation.

Calculated values
V   25.98 Å³ per atom
Density   10.02 g/cm³
ΔE_f   295.1 meV/atom

a b c (Å): 3.1645 4.6928 13.9958
angles (deg): 90.00 90.00 90.00
Space group Immm (No. 71)
One atom of each set of equivalent atoms:
1 In 0.0000 0.0000 0.0000
2 Tc 0.0000 0.0000 0.5000
3 Pb 0.0000 0.5000 0.1753

The following is a DFT calculation (PBE) of La2PrC4 after structural relaxation.

Calculated values
V   19.09 Å³ per atom
Density   5.80 g/cm³
ΔE_f   -93.6 meV/atom

a b c (Å): 9.1174 10.0277 5.8453
angles (deg): 90.00 90.00 90.00
Space group Ibam (No. 72)
One atom of each set of equivalent atoms:
1 La 0.1427 0.1464 0.0000
2 Pr 0.0000 0.5000 0.2500
3 C 0.1373 0.1315 0.5000
4 C 0.2217 0.4050 0.0000

The following is a DFT calculation (PBE) of Li2UNb2Se6 after structural relaxation.

Calculated values
V   21.99 Å³ per atom
Density   6.26 g/cm³
Energy relative to the elements, uncorrected   -1.01 eV/atom

a b c (Å): 6.5440 10.9095 7.0064
angles (deg): 90.00 104.73 90.00
Space group C2/m (No. 12)
One atom of each set of equivalent atoms:
1 Li 0.0000 0.1724 0.0000
2 U 0.0000 0.0000 0.5000
3 Nb 0.0000 0.3651 0.5000
4 Se 0.2404 0.5000 0.7693
5 Se 0.2428 0.1782 0.7338

The following is a DFT calculation (PBE) of K2PrCd2S4 after structural relaxation.

Calculated values
V   27.71 Å³ per atom
Density   3.81 g/cm³
Energy relative to the elements, uncorrected   -1.11 eV/atom

a b c (Å): 16.3916 4.1137 8.0968
angles (deg): 90.00 114.02 90.00
Space group C2/m (No. 12)
One atom of each set of equivalent atoms:
1 K 0.1254 0.0000 0.0540
2 Pr 0.0000 0.0000 0.5000
3 Cd 0.1874 0.5000 0.5225
4 S 0.0261 0.5000 0.2747
5 S 0.1911 0.0000 0.7276

The following is a DFT calculation (PBE) of GeTeI2Cl after structural relaxation.

Calculated values
V   34.99 Å³ per atom
Density   4.65 g/cm³
Energy relative to the lowest polymorph listed for this composition   0 meV per atom
Energy relative to the elements, uncorrected   0.29 eV/atom

a b c (Å): 5.6027 5.6027 5.5730
angles (deg): 90.00 90.00 90.00
Space group P4/mmm (No. 123)
One atom of each set of equivalent atoms:
1 Ge 0.0000 0.0000 0.0000
2 Te 0.0000 0.0000 0.5000
3 I 0.0000 0.5000 0.0000
4 Cl 0.5000 0.5000 0.5000

The following is a DFT calculation (PBE) of Hg2Pd5S2 after structural relaxation.

Calculated values
V   18.02 Å³ per atom
Density   10.21 g/cm³
Energy relative to the elements, uncorrected   -0.16 eV/atom

a b c (Å): 10.3061 4.6888 7.1221
angles (deg): 90.00 109.54 90.00
Space group C2/m (No. 12)
One atom of each set of equivalent atoms:
1 Hg 0.1573 0.0000 0.4396
2 Pd 0.0000 0.5000 0.5000
3 Pd 0.1116 0.5000 0.1861
4 Pd 0.1136 0.0000 0.8196
5 S 0.1275 0.5000 0.8602